1.
The following is a PBE calculation of a relaxed structure of Ni3Pt, from the Alexandria database.

Summary:
Total magnetic moment   0.64 μB/atom
SG   I4/mmm (139)
Energy relative to the elements   -0.07 eV per atom
Calculated volume   12.22 A^3/atom

Cell lengths 3.6590, 3.6590, 7.7493 Å; angles 76.34, 76.34, 90.00 degrees
Last column: nearest neighbours and their distance in Å.
Sites, in units of the cell vectors:
Ni: 0.5000 0.0000 0.0000  8 Ni 2.58-2.59, 4 Pt 2.59
Ni: 0.2500 0.7500 0.5000  4 Pt 2.58, 8 Ni 2.59
Ni: 0.1249 0.1249 0.7501  8 Ni 2.58-2.59, 4 Pt 2.59
Ni: 0.7500 0.2500 0.5000  4 Pt 2.58, 8 Ni 2.59
Ni: 0.0000 0.5000 0.0000  8 Ni 2.58-2.59, 4 Pt 2.59
Ni: 0.8751 0.8751 0.2499  8 Ni 2.58-2.59, 4 Pt 2.59
Pt: 0.3749 0.3749 0.2503  12 Ni 2.58-2.59
Pt: 0.6251 0.6251 0.7497  12 Ni 2.58-2.59



2.
The following is a PBE calculation of a relaxed structure of Ni4Pt5, from the Alexandria database.

Summary:
Total magnetic moment   0.52 μB/atom
SG   C2/m (12)
Energy relative to the elements   -0.07 eV per atom
Offset from the most stable computed form   0.0000 eV per atom
Calculated volume   13.78 A^3/atom

Cell lengths 3.7785, 8.1037, 4.6645 Å; angles 106.52, 113.89, 76.52 degrees
Last column: nearest neighbours and their distance in Å.
Sites, in units of the cell vectors:
Ni: 0.6682 0.1112 0.4476  8 Pt 2.65-2.72, 4 Ni 2.67-2.70
Ni: 0.9993 0.6674 0.6661  9 Pt 2.65-2.76, 3 Ni 2.70
Ni: 0.9985 0.9999 0.9969  8 Pt 2.65-2.72, 4 Ni 2.67-2.70
Ni: 0.6673 0.4437 0.7783  9 Pt 2.65-2.76, 3 Ni 2.70
Pt: 0.3278 0.8941 0.5497  7 Ni 2.65-2.72, 5 Pt 2.65-2.73
Pt: 0.3333 0.5556 0.2222  6 Ni 2.69-2.70, 6 Pt 2.72-2.73
Pt: 0.6578 0.7799 0.0955  7 Ni 2.65-2.76, 5 Pt 2.67-2.72
Pt: 0.0088 0.3312 0.3489  7 Ni 2.65-2.76, 5 Pt 2.67-2.72
Pt: 0.3389 0.2170 0.8948  7 Ni 2.65-2.72, 5 Pt 2.65-2.73



3.
The following is a PBE calculation of a relaxed structure of Ni5Pt7, from the Alexandria database.

Summary:
Total magnetic moment   0.49 μB/atom
SG   Pmm2 (25)
Energy relative to the elements   -0.06 eV per atom
Offset from the most stable computed form   0.0024 eV per atom
Calculated volume   13.93 A^3/atom

Cell lengths 7.5458, 2.7314, 8.1090 Å; angles 90.00, 90.00, 90.00 degrees
Last column: nearest neighbours and their distance in Å.
Sites, in units of the cell vectors:
Pt: 0.4883 0.0000 0.6583  3 Ni 2.60-2.63, 9 Pt 2.73-2.88
Pt: 0.2273 0.5000 0.8333  6 Ni 2.58-2.74, 6 Pt 2.73-2.79
Pt: 0.7521 0.5000 0.1683  8 Pt 2.68-2.79, 4 Ni 2.69-2.77
Pt: 0.7521 0.5000 0.4984  8 Pt 2.68-2.79, 4 Ni 2.69-2.77
Pt: 0.7672 0.5000 0.8333  4 Ni 2.66, 8 Pt 2.72-2.88
Pt: 0.0222 0.0000 0.3333  6 Ni 2.57-2.65, 6 Pt 2.73-2.79
Pt: 0.4883 0.0000 0.0084  3 Ni 2.60-2.63, 9 Pt 2.73-2.88
Ni: 0.0051 0.0000 0.0074  7 Pt 2.58-2.69, 5 Ni 2.67-2.82
Ni: 0.2526 0.5000 0.4961  5 Pt 2.57-2.74, 7 Ni 2.60-2.73
Ni: 0.0051 0.0000 0.6593  7 Pt 2.58-2.69, 5 Ni 2.67-2.82
Ni: 0.2526 0.5000 0.1706  5 Pt 2.57-2.74, 7 Ni 2.60-2.73
Ni: 0.4872 0.0000 0.3333  6 Ni 2.60-2.73, 6 Pt 2.63-2.77



4.
The following is a PBE calculation of a relaxed structure of NiPt, from the Alexandria database.

Summary:
Total magnetic moment   0.54 μB/atom
SG   C2/m (12)
Energy relative to the elements   -0.08 eV per atom
Calculated volume   13.47 A^3/atom

Cell lengths 2.7211, 4.6665, 4.5351 Å; angles 101.41, 90.00, 106.95 degrees
Last column: nearest neighbours and their distance in Å.
Sites, in units of the cell vectors:
Ni: 0.2557 0.5115 0.7451  5 Ni 2.60-2.82, 7 Pt 2.60-2.69
Ni: 0.9943 0.9885 0.0049  5 Ni 2.60-2.82, 7 Pt 2.60-2.69
Pt: 0.7451 0.4901 0.2297  7 Ni 2.60-2.69, 5 Pt 2.72-2.78
Pt: 0.5049 0.0099 0.5203  7 Ni 2.60-2.69, 5 Pt 2.72-2.78



5.
The following is a PBE calculation of a relaxed structure of NiPt3, from the Alexandria database.

Summary:
Total magnetic moment   0.26 μB/atom
SG   Pm-3m (221)
Energy relative to the elements   1.47 eV per atom
Calculated volume   24.14 A^3/atom

Cell lengths 4.5878, 4.5878, 4.5878 Å; angles 90.00, 90.00, 90.00 degrees
Last column: nearest neighbours and their distance in Å.
Sites, in units of the cell vectors:
Pt: 0.0000 0.0000 0.5000  2 Ni 2.29
Pt: 0.5000 0.0000 0.0000  2 Ni 2.29
Pt: 0.0000 0.5000 0.0000  2 Ni 2.29
Ni: 0.0000 0.0000 0.0000  6 Pt 2.29



6.
The following is a PBE calculation of a relaxed structure of NiPt3, from the Alexandria database.

Summary:
Total magnetic moment   0.38 μB/atom
SG   R-3m (166)
Energy relative to the elements   -0.04 eV per atom
Calculated volume   14.73 A^3/atom

Cell lengths 2.7659, 9.0360, 2.7659 Å; angles 98.80, 60.00, 98.80 degrees
Last column: nearest neighbours and their distance in Å.
Sites, in units of the cell vectors:
Ni: 0.0000 0.0000 0.0000  6 Pt 2.61, 6 Ni 2.77
Pt: 0.5000 0.5000 0.5000  12 Pt 2.77-2.87
Pt: 0.7441 0.2322 0.7441  3 Ni 2.61, 9 Pt 2.77-2.87
Pt: 0.2559 0.7678 0.2559  3 Ni 2.61, 9 Pt 2.77-2.87



Question: What is the calculated volume in the fourth record?
Answer: 13.47 A^3/atom



Question: What is the formula in the fourth record?
Answer: NiPt



Question: Look up the total magnetic moment of the second one.
Answer: 0.52 μB/atom